No. 1
5
Lattice="4.865 0.000 0.000 0.000 6.491 0.000 0.000 0.000 6.491" Properties=species:S:1:pos:R:3 comment="SCAN K2SrZnAs, PBEsol geometry" sg="No. 123" pbc="T T T"
As 0.000 0.000 0.000
Zn 2.432 0.000 0.000
K 0.000 0.000 3.245
K 0.000 3.245 0.000
Sr 2.432 3.245 3.245


No. 2
4
Lattice="-3.413 0.699 -0.123 -0.501 -3.052 -3.450 -0.833 -3.503 3.220" Properties=species:S:1:pos:R:3 comment="SCAN KTa2As, PBEsol geometry" sg="No. 47" pbc="T T T"
K -0.667 -3.278 -0.115
Ta 0.000 0.000 0.000
Ta -1.957 -1.176 -1.786
As -2.123 -1.402 1.549


No. 3
4
Lattice="-1.786 -1.548 -1.822 1.037 -2.421 -1.403 -3.345 -7.396 7.117" Properties=species:S:1:pos:R:3 comment="SCAN KTa2As, PBEsol geometry" sg="No. 166" pbc="T T T"
Ta -2.912 -8.211 2.498
K 0.000 0.000 0.000
Ta -1.183 -3.153 1.394
As -2.047 -5.682 1.946


Number 1: E_form 0.028 eV per atom, density of states at the Fermi level 1.9 states/eV/f.u.. Number 2: E_form 1.116 eV per atom, density of states at the Fermi level 3.2 states/eV/f.u.. Number 3: E_form 0.713 eV per atom, density of states at the Fermi level 4.2 states/eV/f.u..